# AcFeTeO6 PBE with a Hubbard U relaxed
data_AcFeTeO6
_chemical_formula_sum 'Ac2 Fe2 Te2 O12'
_cell_length_a 5.1823
_cell_length_b 8.9959
_cell_length_c 5.4309
_cell_angle_alpha 90.00
_cell_angle_beta 90.10
_cell_angle_gamma 90.00
_space_group_name_H-M_alt 'C 1 2 1'
_space_group_IT_number 5
loop_
_space_group_symop_operation_xyz
'x,y,z'
'-x,y,-z'
'x+1/2,y+1/2,z'
'-x+1/2,y+1/2,-z'
loop_
_atom_site_label
_atom_site_fract_x
_atom_site_fract_y
_atom_site_fract_z
Ac1 0.0000 0.0000 0.0000
Fe1 0.0000 0.6672 0.5000
Te1 0.0000 0.3334 0.5000
O1 0.1183 0.4982 0.7055
O2 0.1864 0.1884 0.7023
O3 0.1906 0.8106 0.7036
# ρ   6.6 g/cm³
# DFT total energy   -6.5203 eV/atom
# V   253.2 Å³/cell
# Fermi-level density of states   0.00 states/eV/cell